(1)
This record from the Alexandria database describes a relaxed structure of PaAg5Se6. The functional is PBE.

Summary:
Total moment: 0.00 Bohr magnetons per cell
D(E_F): 6.11 states/eV/cell
Raw total energy: -4.140 eV per atom
ΔE_f (raw): -0.4181 eV per atom
Space group: C2/m (12)

Cell lengths 6.9324, 7.1143, 6.8641 Å; angles 58.79, 79.92, 70.25 degrees
Closest atoms and distances in Å follow each position.
Fractional coordinates of all 12 atoms:
Pa 0.0000 0.0000 0.0000  6 Se 2.81-2.84
Ag 0.5000 0.1425 0.7149  4 Se 2.70-2.82
Ag 0.0000 0.6788 0.6425  6 Se 2.74-3.06
Ag 0.5000 0.5000 0.0000  6 Se 2.80-2.92
Ag 0.5000 0.8575 0.2851  4 Se 2.70-2.82
Ag 0.0000 0.3212 0.3575  6 Se 2.74-3.06
Se 0.7857 0.7227 0.0000  5 Ag 2.74-2.92, 1 Pa 2.84
Se 0.2671 0.9301 0.6696  3 Ag 2.70-2.80, 1 Pa 2.81
Se 0.7329 0.0699 0.3304  3 Ag 2.70-2.80, 1 Pa 2.81
Se 0.7329 0.4003 0.6696  3 Ag 2.70-2.80, 1 Pa 2.81
Se 0.2671 0.5997 0.3304  3 Ag 2.70-2.80, 1 Pa 2.81
Se 0.2143 0.2773 0.0000  5 Ag 2.74-2.92, 1 Pa 2.84

(2)
This record from the Alexandria database describes a relaxed structure of Pa3Ag2Se8. The functional is PBE.

Summary:
Total moment: 1.18 Bohr magnetons per cell
D(E_F): 8.14 states/eV/cell
Raw total energy: -5.783 eV per atom
ΔE_f (raw): -1.0085 eV per atom
Space group: C2/m (12)

Cell lengths 7.2588, 8.4219, 8.0919 Å; angles 121.36, 107.84, 90.00 degrees
Closest atoms and distances in Å follow each position.
Fractional coordinates of all 13 atoms:
Pa 0.5000 0.0000 0.0000  6 Se 2.79-2.87
Pa 0.0000 0.7442 0.0000  6 Se 2.77-2.90
Pa 0.0000 0.2558 0.0000  6 Se 2.77-2.90
Se 0.2416 0.1159 0.7674  1 Ag 2.67, 2 Pa 2.78-2.79
Se 0.2416 0.6516 0.7674  1 Ag 2.67, 2 Pa 2.78-2.79
Se 0.7529 0.8814 0.7627  1 Ag 2.86, 3 Pa 2.87-2.90
Se 0.2186 0.6228 0.2457  1 Ag 2.67, 2 Pa 2.77
Se 0.7814 0.3772 0.7543  1 Ag 2.67, 2 Pa 2.77
Se 0.7584 0.8841 0.2326  1 Ag 2.67, 2 Pa 2.78-2.79
Se 0.7584 0.3484 0.2326  1 Ag 2.67, 2 Pa 2.78-2.79
Se 0.2471 0.1186 0.2373  1 Ag 2.86, 3 Pa 2.87-2.90
Ag 0.6063 0.6593 0.3187  4 Se 2.67-2.86
Ag 0.3937 0.3407 0.6813  4 Se 2.67-2.86

(3)
This record from the Alexandria database describes a relaxed structure of Pa3Ag5Se12. The functional is PBE.

Summary:
Total moment: 0.00 Bohr magnetons per cell
D(E_F): 38.21 states/eV/cell
Raw total energy: -4.855 eV per atom
ΔE_f (raw): -0.6267 eV per atom
Space group: Ia-3d (230)

Cell lengths 13.8823, 13.8823, 13.8823 Å; angles 109.47, 109.47, 109.47 degrees
Closest atoms and distances in Å follow each position.
Fractional coordinates of all 80 atoms:
Se 0.2239 0.5531 0.6361  2 Ag 2.58-2.72
Se 0.1709 0.0831 0.9469  2 Ag 2.58-2.72
Se 0.3291 0.5531 0.4169  2 Ag 2.58-2.72
Se 0.4469 0.6709 0.0831  2 Ag 2.58-2.72
Se 0.2761 0.8639 0.9469  2 Ag 2.58-2.72
Se 0.7761 0.4469 0.3639  2 Ag 2.58-2.72
Se 0.4122 0.1361 0.5831  2 Ag 2.58-2.72
Se 0.8639 0.5878 0.9169  2 Ag 2.58-2.72
Se 0.5531 0.3291 0.9169  2 Ag 2.58-2.72
Se 0.3639 0.4169 0.0878  2 Ag 2.58-2.72
Se 0.0831 0.9122 0.1361  2 Ag 2.58-2.72
Se 0.7239 0.5878 0.1709  2 Ag 2.58-2.72
Se 0.3639 0.9469 0.7761  2 Ag 2.58-2.72
Se 0.5878 0.7239 0.6709  2 Ag 2.58-2.72
Se 0.2239 0.6709 0.0878  2 Ag 2.58-2.72
Se 0.0878 0.9169 0.3639  2 Ag 2.58-2.72
Se 0.4169 0.3639 0.5878  2 Ag 2.58-2.72
Se 0.1709 0.0878 0.7239  2 Ag 2.58-2.72
Se 0.4122 0.2761 0.3291  2 Ag 2.58-2.72
Se 0.1361 0.4122 0.0831  2 Ag 2.58-2.72
Se 0.9122 0.0831 0.6361  2 Ag 2.58-2.72
Se 0.0831 0.1709 0.4469  2 Ag 2.58-2.72
Se 0.4469 0.7761 0.8639  2 Ag 2.58-2.72
Se 0.0531 0.4169 0.8291  2 Ag 2.58-2.72
Se 0.9469 0.3639 0.2761  2 Ag 2.58-2.72
Se 0.9169 0.0878 0.8639  2 Ag 2.58-2.72
Se 0.6709 0.2239 0.5878  2 Ag 2.58-2.72
Se 0.5878 0.8639 0.4169  2 Ag 2.58-2.72
Se 0.4169 0.0531 0.3291  2 Ag 2.58-2.72
Se 0.5831 0.6361 0.4122  2 Ag 2.58-2.72
Se 0.5531 0.2239 0.1361  2 Ag 2.58-2.72
Se 0.3291 0.7761 0.4122  2 Ag 2.58-2.72
Se 0.8291 0.9122 0.2761  2 Ag 2.58-2.72
Se 0.9169 0.8291 0.5531  2 Ag 2.58-2.72
Se 0.9122 0.8291 0.7761  2 Ag 2.58-2.72
Se 0.8639 0.2761 0.4469  2 Ag 2.58-2.72
Se 0.5831 0.9469 0.6709  2 Ag 2.58-2.72
Se 0.7239 0.1361 0.0531  2 Ag 2.58-2.72
Se 0.0878 0.1709 0.2239  2 Ag 2.58-2.72
Se 0.2761 0.4122 0.8291  2 Ag 2.58-2.72
Se 0.0531 0.6361 0.7239  2 Ag 2.58-2.72
Se 0.1361 0.7239 0.5531  2 Ag 2.58-2.72
Se 0.6361 0.0531 0.2239  2 Ag 2.58-2.72
Se 0.6709 0.4469 0.5831  2 Ag 2.58-2.72
Se 0.6361 0.5831 0.9122  2 Ag 2.58-2.72
Se 0.7761 0.3291 0.9122  2 Ag 2.58-2.72
Se 0.8291 0.9169 0.0531  2 Ag 2.58-2.72
Se 0.9469 0.5831 0.1709  2 Ag 2.58-2.72
Pa 0.7500 0.3750 0.1250  8 Se 2.93-2.98
Pa 0.8750 0.1250 0.2500  8 Se 2.93-2.98
Pa 0.7500 0.8750 0.6250  8 Se 2.93-2.98
Pa 0.3750 0.7500 0.6250  8 Se 2.93-2.98
Pa 0.2500 0.6250 0.8750  8 Se 2.93-2.98
Pa 0.8750 0.7500 0.1250  8 Se 2.93-2.98
Pa 0.3750 0.6250 0.2500  8 Se 2.93-2.98
Pa 0.6250 0.2500 0.3750  8 Se 2.93-2.98
Pa 0.2500 0.1250 0.3750  8 Se 2.93-2.98
Pa 0.6250 0.3750 0.7500  8 Se 2.93-2.98
Pa 0.1250 0.2500 0.8750  8 Se 2.93-2.98
Pa 0.1250 0.8750 0.7500  8 Se 2.93-2.98
Ag 0.0000 0.0000 0.5000  6 Se 2.72
Ag 0.1250 0.3750 0.2500  4 Se 2.58
Ag 0.1250 0.7500 0.3750  4 Se 2.58
Ag 0.5000 0.0000 0.0000  6 Se 2.72
Ag 0.5000 0.5000 0.0000  6 Se 2.72
Ag 0.6250 0.8750 0.2500  4 Se 2.58
Ag 0.8750 0.2500 0.6250  4 Se 2.58
Ag 0.0000 0.0000 0.0000  6 Se 2.72
Ag 0.2500 0.3750 0.6250  4 Se 2.58
Ag 0.0000 0.5000 0.0000  6 Se 2.72
Ag 0.8750 0.6250 0.7500  4 Se 2.58
Ag 0.6250 0.7500 0.8750  4 Se 2.58
Ag 0.5000 0.0000 0.5000  6 Se 2.72
Ag 0.0000 0.5000 0.5000  6 Se 2.72
Ag 0.2500 0.8750 0.1250  4 Se 2.58
Ag 0.7500 0.1250 0.8750  4 Se 2.58
Ag 0.3750 0.1250 0.7500  4 Se 2.58
Ag 0.7500 0.6250 0.3750  4 Se 2.58
Ag 0.3750 0.2500 0.1250  4 Se 2.58
Ag 0.5000 0.5000 0.5000  6 Se 2.72